Compound: LiFeMo2
Source: the Alexandria database
Functional: PBE-GGA
Structure: optimized geometry

Structure (POSCAR):
```
LiFeMo2
1.0
6.8387 0.0000 0.0000
0.0000 6.8387 0.0000
3.4193 3.4193 2.5412
Mo Fe Li
4 2 2
Direct
0.6656 0.1250 0.2500
0.0844 0.6250 0.2500
0.3750 0.3344 0.7500
0.8750 0.9156 0.7500
0.0000 0.0000 0.0000
0.7500 0.2500 0.5000
0.5000 0.5000 0.0000
0.2500 0.7500 0.5000
```

Computed properties:
Excess energy over the best structure of this formula in the dataset ... 452 meV per atom
ρ ... 7116 kg/m3
Calculated formation energy ... 0.683 eV/atom
Space group ... I-42d

=====

Compound: LiFeMo2
Source: the Alexandria database
Functional: PBE-GGA
Structure: optimized geometry

Structure (POSCAR):
```
LiFeMo2
1.0
4.3278 0.0000 0.0000
0.0000 2.5792 -0.0382
0.0000 0.6624 4.9757
Fe Li Mo
1 1 2
Direct
0.0000 0.5453 0.4971
0.5000 0.6986 0.7519
0.0000 0.0147 0.9890
0.5000 0.2414 0.2620
```

Computed properties:
Excess energy over the best structure of this formula in the dataset ... 40 meV per atom
ρ ... 7599 kg/m3
Calculated formation energy ... 0.272 eV/atom
Space group ... Pm

=====

Compound: LiFeMo2
Source: the Alexandria database
Functional: PBE-GGA
Structure: optimized geometry

Structure (POSCAR):
```
LiFeMo2
1.0
4.8637 0.3900 0.0000
1.7568 4.5520 0.0000
-3.3102 -2.4710 2.5969
Fe Li Mo
1 1 2
Direct
0.2500 0.7500 0.5000
0.7500 0.2500 0.5000
0.0000 0.0000 0.0000
0.5000 0.5000 0.0000
```

Computed properties:
Excess energy over the best structure of this formula in the dataset ... 151 meV per atom
ρ ... 7590 kg/m3
Calculated formation energy ... 0.383 eV/atom
Space group ... I4/mmm